Here is an optimized crystal structure of CaTbPrMg from the Alexandria database. Energies are from GGA-PBE.

Calculated values
As for the space-group type: P4mm (99). The calculation puts the total energy at -13.1 eV/cell.

```
CaTbPrMg
1.0
3.6666 0.0000 0.0000
0.0000 3.6666 0.0000
0.0000 0.0000 9.7874
Ca Tb Pr Mg
1 1 1 1
direct
0.0000 0.0000 0.0000 Ca
0.0000 0.0000 0.4508 Tb
0.5000 0.5000 0.7026 Pr
0.5000 0.5000 0.2343 Mg
```

=====

Here is an optimized crystal structure of CaPrMgTl from the Alexandria database. Energies are from GGA-PBE.

Calculated values
As for the space-group type: F-43m (216). The calculation puts the total energy at -11.9 eV/cell.

```
CaPrMgTl
1.0
0.0000 3.9051 3.9051
3.9051 0.0000 3.9051
3.9051 3.9051 0.0000
Ca Pr Mg Tl
1 1 1 1
direct
0.0000 0.0000 0.0000 Ca
0.5000 0.5000 0.5000 Pr
0.7500 0.7500 0.7500 Mg
0.2500 0.2500 0.2500 Tl
```

=====

Here is an optimized crystal structure of CaPrYMg from the Alexandria database. Energies are from GGA-PBE.

Calculated values
As for the space-group type: F-43m (216). The calculation puts the total energy at -14.7 eV/cell.

```
CaPrYMg
1.0
0.0000 4.0079 4.0079
4.0079 0.0000 4.0079
4.0079 4.0079 0.0000
Ca Pr Y Mg
1 1 1 1
direct
0.0000 0.0000 0.0000 Ca
0.2500 0.2500 0.2500 Pr
0.7500 0.7500 0.7500 Y
0.5000 0.5000 0.5000 Mg
```

=====

Here is an optimized crystal structure of CaPrYMg from the Alexandria database. Energies are from GGA-PBE.

Calculated values
As for the space-group type: P4mm (99). The calculation puts the total energy at -14.9 eV/cell.

```
CaPrYMg
1.0
3.6712 0.0000 0.0000
0.0000 3.6712 0.0000
0.0000 0.0000 9.7783
Ca Pr Y Mg
1 1 1 1
direct
0.0000 0.0000 0.0000 Ca
0.5000 0.5000 0.7030 Pr
0.0000 0.0000 0.4487 Y
0.5000 0.5000 0.2339 Mg
```

=====

Here is an optimized crystal structure of Ca4MgPt from the Alexandria database. Energies are from GGA-PBE.

Calculated values
As for the space-group type: F-43m (216). The calculation puts the total energy at -13.2 eV/cell.

```
Ca4MgPt
1.0
0.0000 4.5040 4.5040
4.5040 0.0000 4.5040
4.5040 4.5040 0.0000
Ca Mg Pt
4 1 1
direct
0.3760 0.3760 0.3760 Ca
0.3760 0.3760 0.8720 Ca
0.3760 0.8720 0.3760 Ca
0.8720 0.3760 0.3760 Ca
0.0000 0.0000 0.0000 Mg
0.7500 0.7500 0.7500 Pt
```

=====

Here is an optimized crystal structure of Ca16Mg12Pt from the Alexandria database. Energies are from GGA-PBE.

Calculated values
As for the space-group type: Cm (8). The calculation puts the total energy at -60.1 eV/cell.

```
Ca16Mg12Pt
1.0
6.1584 -8.6490 0.0000
6.1584 8.6490 0.0000
-5.8950 0.0000 8.7073
Ca Mg Pt
16 12 1
direct
0.0000 0.0000 0.0000 Ca
0.0079 0.4224 0.6000 Ca
0.1108 0.7012 0.9774 Ca
0.1439 0.3616 0.3337 Ca
0.1479 0.1479 0.6079 Ca
0.2845 0.9970 0.8820 Ca
0.3464 0.6843 0.2896 Ca
0.3616 0.1439 0.3337 Ca
0.3869 0.6989 0.7062 Ca
0.4224 0.0079 0.6000 Ca
0.6843 0.3464 0.2896 Ca
0.6906 0.6906 0.9402 Ca
0.6989 0.3869 0.7062 Ca
0.7012 0.1108 0.9774 Ca
0.7166 0.7166 0.3115 Ca
0.9970 0.2845 0.8820 Ca
0.0459 0.8563 0.2691 Mg
0.0710 0.6949 0.4692 Mg
0.3412 0.5174 0.9159 Mg
0.3485 0.3485 0.1219 Mg
0.5049 0.8864 0.1121 Mg
0.5174 0.3412 0.9159 Mg
0.5325 0.5325 0.5020 Mg
0.6949 0.0710 0.4692 Mg
0.7006 0.8874 0.6530 Mg
0.8563 0.0459 0.2691 Mg
0.8864 0.5049 0.1121 Mg
0.8874 0.7006 0.6530 Mg
0.4155 0.4155 0.6673 Pt
```